Computed, not measured: crystalline LaCrMo2 at its relaxed geometry at the PBE-GGA level of DFT.

a = 9.3473 Å, b = 9.3473 Å, c = 9.3473 Å
α = 18.73°, β = 18.73°, γ = 18.73°
Last column: nearest neighbours and their distance in Å.
Element x y z (fractional)
1 La 0.7500 0.7500 0.7500  6 La 3.04, 6 Mo 3.29
2 Mo 0.5179 0.5179 0.5179  3 Cr 2.52
3 Mo 0.9821 0.9821 0.9821  3 Cr 2.52
4 Cr 0.2500 0.2500 0.2500  6 Mo 2.52

Output
For the total energy, the calculation gives -33.45 eV/cell. The formation energy comes out at 691.7 meV per atom.